[1]
Pr2Bi4O9 | the Alexandria database | PBE-GGA | relaxed; formation energy (no corrections) = -1.89 eV/atom; magnetic moment = 0.0 μB per formula unit
1.0
6.215 0.000 0.000
-3.107 5.382 0.000
0.000 0.000 15.393
Pr Bi O
4 8 18
Direct
0.000 0.000 0.138
0.000 0.000 0.362
0.000 0.000 0.638
0.000 0.000 0.862
0.333 0.667 0.193
0.333 0.667 0.478
0.333 0.667 0.693
0.333 0.667 0.978
0.667 0.333 0.022
0.667 0.333 0.307
0.667 0.333 0.522
0.667 0.333 0.807
0.000 0.283 0.250
0.000 0.717 0.750
0.078 0.387 0.578
0.078 0.691 0.078
0.283 0.000 0.250
0.283 0.283 0.750
0.309 0.387 0.078
0.309 0.922 0.578
0.387 0.078 0.922
0.387 0.309 0.422
0.613 0.691 0.578
0.613 0.922 0.078
0.691 0.078 0.422
0.691 0.613 0.922
0.717 0.000 0.750
0.717 0.717 0.250
0.922 0.309 0.922
0.922 0.613 0.422

[2]
ZnSbF2 | the Alexandria database | PBE-GGA | relaxed; formation energy (no corrections) = -1.46 eV/atom; magnetic moment = 0.0 μB per formula unit; distance to the lowest polymorph of the same formula = 0 meV per atom
1.0
1.557 0.899 8.039
-1.557 0.899 8.039
0.000 -1.798 8.039
Zn Sb F
1 1 2
Direct
0.000 0.000 0.000
0.500 0.500 0.500
0.375 0.375 0.375
0.625 0.625 0.625

[3]
VIrRuW | the Alexandria database | PBE-GGA | relaxed; VASP energy = -10.27 eV/atom; magnetic moment = 0.0 μB per formula unit
1.0
-1.967 1.967 3.755
1.967 -1.967 3.755
1.967 1.967 -3.755
V Ir Ru W
1 1 1 1
Direct
0.000 0.000 0.000
0.250 0.750 0.500
0.750 0.250 0.500
0.500 0.500 0.000

[4]
Nd3Si2Pt4 | the Alexandria database | PBE-GGA | relaxed; formation energy (no corrections) = -1.11 eV/atom; magnetic moment = 0.0 μB per formula unit
1.0
5.556 -2.116 0.000
5.556 2.116 0.000
-2.227 0.000 8.298
Nd Si Pt
3 2 4
Direct
0.000 0.000 0.000
0.334 0.334 0.330
0.666 0.666 0.670
0.392 0.392 0.715
0.608 0.608 0.285
0.059 0.059 0.379
0.288 0.288 0.925
0.712 0.712 0.075
0.941 0.941 0.621